<one>
Computed, not measured: BaPm2Pd after structural relaxation at the GGA-PBE level of DFT.

Cell: 3.710 3.710 9.876 Å, 90.00 90.00 90.00°
Space group P4/mmm (No. 123)
Symmetry-distinct sites (fractional):
1 Ba 0.000 0.000 0.000
2 Pm 0.500 0.500 0.333
3 Pd 0.000 0.000 0.500

<two>
Computed, not measured: BaPm2Pd after structural relaxation at the GGA-PBE level of DFT.

Cell: 4.2541 4.2541 29.6306 Å, 90.00 90.00 120.00°
Space group R-3m (No. 166, hexagonal axes)
Symmetry-distinct sites (fractional):
1 Ba 0.0000 0.0000 0.0000
2 Pm 0.0000 0.0000 0.2179
3 Pd 0.0000 0.0000 0.5000

Relative energies in meV/atom: <one> 0; <two> 12

<one>
Computed, not measured: BaPrPd after structural relaxation at the GGA-PBE level of DFT.

Cell: 7.506 7.795 7.533 Å, 90.00 97.83 90.00°
Space group P2_1/c (No. 14)
Symmetry-distinct sites (fractional):
1 Ba 0.154 0.152 0.319
2 Pr 0.363 0.695 0.487
3 Pd 0.434 0.035 0.688

<two>
Computed, not measured: BaPrPd after structural relaxation at the GGA-PBE level of DFT.

Cell: 4.4025 4.4025 7.1342 Å, 90.00 90.00 120.00°
Space group P3m1 (No. 156)
Symmetry-distinct sites (fractional):
1 Ba 0.0000 0.0000 0.0000
2 Pr 0.3333 0.6667 0.5269
3 Pd 0.6667 0.3333 0.7240

<three>
Computed, not measured: BaPrPd after structural relaxation at the GGA-PBE level of DFT.

Cell: 3.828 3.828 14.019 Å, 90.00 90.00 90.00°
Space group I4mm (No. 107)
Symmetry-distinct sites (fractional):
1 Ba 0.000 0.000 0.000
2 Pr 0.000 0.000 0.257
3 Pd 0.000 0.000 0.660

Relative energies in meV/atom: <one> 0; <two> 67; <three> 34